Record 1
## MnInB3 (meta-GGA SCAN)

Data for a PBEsol-optimized structure of MnInB3.

Cell lengths 4.3739, 4.3739, 4.3739 Å; angles 90.00, 90.00, 90.00 degrees
Fractional positions:
Mn: 0.0000 0.0000 0.0000
In: 0.5000 0.5000 0.5000
B: 0.0000 0.5000 0.5000
B: 0.5000 0.0000 0.5000
B: 0.5000 0.5000 0.0000

Calculated values
- E_form (eV/atom) = 2.283

=====

Record 2
## MnIn3B (meta-GGA SCAN)

Data for a PBEsol-optimized structure of MnIn3B.

Cell lengths 4.9342, 4.9342, 4.9342 Å; angles 90.00, 90.00, 90.00 degrees
Fractional positions:
Mn: 0.0000 0.0000 0.0000
In: 0.0000 0.0000 0.5000
In: 0.0000 0.5000 0.0000
In: 0.5000 0.0000 0.0000
B: 0.5000 0.5000 0.5000

Calculated values
- E_form (eV/atom) = 1.089

=====

Record 3
## InBTeN2 (meta-GGA SCAN)

Data for a PBEsol-optimized structure of InBTeN2.

Cell lengths 3.7649, 3.7649, 4.9594 Å; angles 90.00, 90.00, 90.00 degrees
Fractional positions:
In: 0.0000 0.0000 0.0000
B: 0.5000 0.5000 0.5000
Te: 0.5000 0.5000 0.0000
N: 0.0000 0.5000 0.5000
N: 0.5000 0.0000 0.5000

Calculated values
- E (eV/atom) = -17.691

=====

Record 4
## InBTeN2 (meta-GGA SCAN)

Data for a PBEsol-optimized structure of InBTeN2.

Cell lengths 4.0486, 4.0486, 6.2307 Å; angles 90.00, 90.00, 90.00 degrees
Fractional positions:
In: 0.0000 0.0000 0.0000
B: 0.5000 0.5000 0.5000
Te: 0.0000 0.0000 0.5000
N: 0.0000 0.5000 0.0000
N: 0.5000 0.0000 0.0000

Calculated values
- E (eV/atom) = -17.277

=====

Record 5
## InSiNiB2 (meta-GGA SCAN)

Data for a PBEsol-optimized structure of InSiNiB2.

Cell lengths 4.1792, 4.1792, 5.3056 Å; angles 90.00, 90.00, 90.00 degrees
Fractional positions:
In: 0.0000 0.0000 0.0000
Si: 0.0000 0.0000 0.5000
Ni: 0.5000 0.5000 0.5000
B: 0.0000 0.5000 0.0000
B: 0.5000 0.0000 0.0000

Calculated values
- E (eV/atom) = -12.529

=====

Record 6
## In2BP3O12 (meta-GGA SCAN)

Data for a PBEsol-optimized structure of In2BP3O12.

Cell lengths 8.2346, 8.2346, 7.8090 Å; angles 90.00, 90.00, 120.00 degrees
Fractional positions:
In: 0.3333 0.6667 0.0445
In: 0.3333 0.6667 0.4555
In: 0.6667 0.3333 0.5445
In: 0.6667 0.3333 0.9555
B: 0.0000 0.0000 0.2500
B: 0.0000 0.0000 0.7500
P: 0.0416 0.3508 0.7500
P: 0.3093 0.9584 0.7500
P: 0.3508 0.3093 0.2500
P: 0.6492 0.6907 0.7500
P: 0.6907 0.0416 0.2500
P: 0.9584 0.6492 0.2500
O: 0.0603 0.8726 0.2500
O: 0.1256 0.6116 0.2500
O: 0.1274 0.1876 0.2500
O: 0.1533 0.4194 0.5855
O: 0.1533 0.4194 0.9145
O: 0.1876 0.0603 0.7500
O: 0.2661 0.8467 0.5855
O: 0.2661 0.8467 0.9145
O: 0.3884 0.5140 0.2500
O: 0.4194 0.2661 0.0855
O: 0.4194 0.2661 0.4145
O: 0.4860 0.8744 0.2500
O: 0.5140 0.1256 0.7500
O: 0.5806 0.7339 0.5855
O: 0.5806 0.7339 0.9145
O: 0.6116 0.4860 0.7500
O: 0.7339 0.1533 0.0855
O: 0.7339 0.1533 0.4145
O: 0.8124 0.9397 0.2500
O: 0.8467 0.5806 0.0855
O: 0.8467 0.5806 0.4145
O: 0.8726 0.8124 0.7500
O: 0.8744 0.3884 0.7500
O: 0.9397 0.1274 0.7500

Calculated values
- E (eV/atom) = -12.362

=====

Record 7
## InB3Os (meta-GGA SCAN)

Data for a PBEsol-optimized structure of InB3Os.

Cell lengths 4.1803, 4.1803, 4.1803 Å; angles 90.00, 90.00, 90.00 degrees
Fractional positions:
In: 0.0000 0.0000 0.0000
B: 0.0000 0.5000 0.5000
B: 0.5000 0.0000 0.5000
B: 0.5000 0.5000 0.0000
Os: 0.5000 0.5000 0.5000

Calculated values
- E_form (eV/atom) = 0.817

=====

Record 8
## In3BP (meta-GGA SCAN)

Data for a PBEsol-optimized structure of In3BP.

Cell lengths 4.6411, 4.6411, 4.6411 Å; angles 90.00, 90.00, 90.00 degrees
Fractional positions:
In: 0.0000 0.0000 0.5000
In: 0.0000 0.5000 0.0000
In: 0.5000 0.0000 0.0000
B: 0.0000 0.0000 0.0000
P: 0.5000 0.5000 0.5000

Calculated values
- E_form (eV/atom) = 0.563

=====

- What is the formula in the fourth record?
  InBTeN2